Compound: SrTaCr2O8
Source: the Alexandria database
Functional: PBE+U
Structure: relaxed

Its total energy is -182.98 eV/cell. The value obtained for the theoretical density is 5.34 g/cm3.

The space group is I-4m2 (No. 119) and the conventional cell measures 7.072, 7.072 and 6.221 Å, with angles of 90.00, 90.00 and 90.00 degrees. The inequivalent atoms are Sr at (0.000, 0.000, 0.000), Ta at (0.000, 0.500, 0.250), Cr at (0.000, 0.000, 0.500), Cr at (0.000, 0.500, 0.750), O at (0.000, 0.214, 0.335) and O at (0.000, 0.330, 0.946).